[1]
{"formula": "TiAgPO5", "functional": "PBE-GGA", "state": "optimized geometry", "energy_ev_per_atom": -7.24, "spacegroup": "C2/c (15)", "de_polymorph_mev_per_atom": 27, "formation_energy_uncorrected_mev_per_atom": -2120, "lattice": [[3.440, -4.339, 0.000], [3.440, 4.339, 0.000], [-3.203, 0.000, 6.516]], "species": ["Ti", "Ti", "Ag", "Ag", "P", "P", "O", "O", "O", "O", "O", "O", "O", "O", "O", "O"], "frac_coords": [[0.000, 0.000, 0.000], [0.000, 0.000, 0.500], [0.324, 0.676, 0.750], [0.676, 0.324, 0.250], [0.321, 0.679, 0.250], [0.679, 0.321, 0.750], [0.060, 0.940, 0.750], [0.139, 0.704, 0.380], [0.242, 0.385, 0.108], [0.296, 0.861, 0.120], [0.385, 0.242, 0.608], [0.615, 0.758, 0.392], [0.704, 0.139, 0.880], [0.758, 0.615, 0.892], [0.861, 0.296, 0.620], [0.940, 0.060, 0.250]]}

***

[2]
{"formula": "Sr2MgHg10", "functional": "PBE-GGA", "state": "optimized geometry", "energy_ev_per_atom": -0.74, "spacegroup": "Pbam (55)", "e_form_ev_per_atom": -0.128, "lattice": [[10.887, 0.000, 0.000], [0.000, 13.348, 0.000], [0.000, 0.000, 5.910]], "species": ["Sr", "Sr", "Sr", "Sr", "Mg", "Mg", "Hg", "Hg", "Hg", "Hg", "Hg", "Hg", "Hg", "Hg", "Hg", "Hg", "Hg", "Hg", "Hg", "Hg", "Hg", "Hg", "Hg", "Hg", "Hg", "Hg"], "frac_coords": [[0.143, 0.161, 0.000], [0.357, 0.661, 0.000], [0.643, 0.339, 0.000], [0.857, 0.839, 0.000], [0.000, 0.500, 0.500], [0.500, 0.000, 0.500], [0.024, 0.885, 0.500], [0.069, 0.679, 0.243], [0.069, 0.679, 0.757], [0.200, 0.310, 0.500], [0.236, 0.034, 0.500], [0.264, 0.534, 0.500], [0.300, 0.810, 0.500], [0.431, 0.179, 0.243], [0.431, 0.179, 0.757], [0.476, 0.385, 0.500], [0.524, 0.615, 0.500], [0.569, 0.821, 0.243], [0.569, 0.821, 0.757], [0.700, 0.190, 0.500], [0.736, 0.466, 0.500], [0.764, 0.966, 0.500], [0.800, 0.690, 0.500], [0.931, 0.321, 0.243], [0.931, 0.321, 0.757], [0.976, 0.115, 0.500]]}

***

[3]
{"formula": "Rb2CuSnSe4", "functional": "PBE-GGA", "state": "optimized geometry", "energy_ev_per_atom": -3.62, "spacegroup": "I-42m (121)", "formation_energy_uncorrected_mev_per_atom": -627, "lattice": [[-4.195, 4.195, 3.508], [4.195, -4.195, 3.508], [4.195, 4.195, -3.508]], "species": ["Rb", "Rb", "Cu", "Sn", "Se", "Se", "Se", "Se"], "frac_coords": [[0.000, 0.500, 0.500], [0.500, 0.000, 0.500], [0.000, 0.000, 0.000], [0.500, 0.500, 0.000], [0.087, 0.396, 0.000], [0.396, 0.087, 0.000], [0.604, 0.604, 0.691], [0.913, 0.913, 0.309]]}

***

[4]
{"formula": "Nd2Sm2Te3", "functional": "PBE-GGA", "state": "optimized geometry", "energy_ev_per_atom": -5.26, "spacegroup": "I2_13 (199)", "de_polymorph_mev_per_atom": 0, "formation_energy_uncorrected_mev_per_atom": -1202, "lattice": [[-4.691, 4.691, 4.691], [4.691, -4.691, 4.691], [4.691, 4.691, -4.691]], "species": ["Nd", "Nd", "Nd", "Nd", "Sm", "Sm", "Sm", "Sm", "Te", "Te", "Te", "Te", "Te", "Te"], "frac_coords": [[0.000, 0.355, 0.500], [0.145, 0.145, 0.145], [0.355, 0.500, 0.000], [0.500, 0.000, 0.355], [0.000, 0.858, 0.500], [0.500, 0.000, 0.858], [0.642, 0.642, 0.642], [0.858, 0.500, 0.000], [0.122, 0.750, 0.872], [0.250, 0.628, 0.378], [0.378, 0.250, 0.628], [0.628, 0.378, 0.250], [0.750, 0.872, 0.122], [0.872, 0.122, 0.750]]}

***

[5]
{"formula": "SmEr5Cd4", "functional": "PBE-GGA", "state": "optimized geometry", "energy_ev_per_atom": -3.36, "spacegroup": "P4/mmm (123)", "e_form_ev_per_atom": -0.240, "lattice": [[3.667, 0.000, 0.000], [0.000, 3.667, 0.000], [0.000, 0.000, 20.140]], "species": ["Sm", "Er", "Er", "Er", "Er", "Er", "Cd", "Cd", "Cd", "Cd"], "frac_coords": [[0.000, 0.000, 0.000], [0.500, 0.500, 0.123], [0.500, 0.500, 0.312], [0.500, 0.500, 0.500], [0.500, 0.500, 0.688], [0.500, 0.500, 0.877], [0.000, 0.000, 0.217], [0.000, 0.000, 0.405], [0.000, 0.000, 0.595], [0.000, 0.000, 0.783]]}

***

[6]
{"formula": "BaSm2Au", "functional": "PBE-GGA", "state": "optimized geometry", "energy_ev_per_atom": -3.93, "spacegroup": "P4/mmm (123)", "e_form_ev_per_atom": -0.268, "de_polymorph_mev_per_atom": 0, "lattice": [[3.776, 0.000, 0.000], [0.000, 3.776, 0.000], [0.000, 0.000, 9.771]], "species": ["Ba", "Sm", "Sm", "Au"], "frac_coords": [[0.000, 0.000, 0.000], [0.500, 0.500, 0.329], [0.500, 0.500, 0.671], [0.000, 0.000, 0.500]]}

***

[7]
{"formula": "NaCa2Cr", "functional": "PBE-GGA", "state": "optimized geometry", "energy_ev_per_atom": -3.12, "spacegroup": "I-42d (122)", "e_form_ev_per_atom": 0.617, "de_polymorph_mev_per_atom": 221, "lattice": [[-4.394, 4.394, 3.536], [4.394, -4.394, 3.536], [4.394, 4.394, -3.536]], "species": ["Na", "Na", "Ca", "Ca", "Ca", "Ca", "Cr", "Cr"], "frac_coords": [[0.000, 0.000, 0.000], [0.750, 0.250, 0.500], [0.150, 0.625, 0.025], [0.375, 0.400, 0.525], [0.600, 0.125, 0.975], [0.875, 0.850, 0.475], [0.250, 0.750, 0.500], [0.500, 0.500, 0.000]]}

***

[8]
{"formula": "KAsW2", "functional": "PBE-GGA", "state": "optimized geometry", "energy_ev_per_atom": -6.87, "spacegroup": "Cmmm (65)", "e_form_ev_per_atom": 1.041, "lattice": [[1.598, -2.386, 0.000], [1.598, 2.386, 0.000], [0.000, 0.000, 10.201]], "species": ["K", "As", "W", "W"], "frac_coords": [[0.000, 0.000, 0.000], [0.000, 0.000, 0.500], [0.500, 0.500, 0.301], [0.500, 0.500, 0.699]]}